The following is a PBE calculation of an optimized crystal structure of Fe2Si2Ir, from Alexandria.

a b c (Å): 6.621 6.621 2.668
angles (deg): 90.00 90.00 90.00
Element x y z (fractional)
Si: 0.357 0.857 0.000
Si: 0.643 0.143 0.000
Si: 0.857 0.643 0.000
Si: 0.143 0.357 0.000
Fe: 0.654 0.846 0.500
Fe: 0.346 0.154 0.500
Fe: 0.154 0.654 0.500
Fe: 0.846 0.346 0.500
Ir: 0.000 0.000 0.000
Ir: 0.500 0.500 0.000

Computed properties:
Energy = -76.50 eV for the cell shown
Calculated volume = 117.0 Å³ per cell